(1)
Si2SbIr (PBE-GGA, optimized geometry); final energy = -5.8819 eV per atom; symmetry = No. 166; crystal system = trigonal
1.0
-1.0636 -6.5045 -1.0367
2.5178 -5.9225 -1.7605
1.3740 -6.2932 1.7386
Ir Sb Si
1 1 2
direct
0.2500 0.2500 0.2500 Ir
0.7500 0.7500 0.7500 Sb
0.9797 0.9797 0.9797 Si
0.5203 0.5203 0.5203 Si

---

(2)
Ir2AuO (PBE-GGA, optimized geometry); final energy = -5.8998 eV per atom; symmetry = No. 122; crystal system = tetragonal
1.0
-1.3991 -1.9759 3.9199
2.1913 -3.8793 -1.1733
5.8249 -0.7752 4.3958
Ir Au O
4 2 2
direct
0.4702 0.1250 0.2500 Ir
0.2798 0.6250 0.2500 Ir
0.3750 0.5298 0.7500 Ir
0.8750 0.7202 0.7500 Ir
0.0000 0.0000 0.0000 Au
0.7500 0.2500 0.5000 Au
0.5000 0.5000 0.0000 O
0.2500 0.7500 0.5000 O

---

(3)
Mg2H4Ir (PBE-GGA, optimized geometry); ΔE to the lowest computed polymorph = 83 kJ/mol of formula units; symmetry = No. 11; crystal system = monoclinic
1.0
-1.3501 -0.7830 -4.6239
4.3694 0.0802 -1.2894
1.6271 -5.9511 5.1437
Mg H Ir
4 8 2
direct
0.2526 0.2500 0.0064 Mg
0.7474 0.7500 0.9936 Mg
0.1991 0.7500 0.4682 Mg
0.8009 0.2500 0.5318 Mg
0.7140 0.4917 0.2460 H
0.7719 0.2500 0.9920 H
0.2281 0.7500 0.0080 H
0.7140 0.0083 0.2460 H
0.6588 0.7500 0.7060 H
0.2860 0.9917 0.7540 H
0.2860 0.5083 0.7540 H
0.3412 0.2500 0.2940 H
0.9589 0.2500 0.2380 Ir
0.0411 0.7500 0.7620 Ir

---

(4)
DyAg2SbTe4 (PBE-GGA, optimized geometry); final energy = -3.8242 eV per atom; symmetry = No. 10; crystal system = monoclinic
1.0
4.3940 0.0000 0.0000
0.0000 7.3945 -0.0732
0.0000 2.6813 7.1394
Dy Ag Sb Te
1 2 1 4
direct
0.0000 0.5000 0.5000 Dy
0.0000 0.0000 0.0000 Ag
0.5000 0.0000 0.5000 Ag
0.5000 0.5000 0.0000 Sb
0.0000 0.7597 0.7479 Te
0.0000 0.2403 0.2521 Te
0.5000 0.7549 0.2479 Te
0.5000 0.2451 0.7521 Te